1.
# Tl2NiTe (GGA-PBE, optimized geometry)
# E_tot = -3.13 eV/atom
# volume = 128 Å³/f.u.
# offset from the most stable computed form = 371 meV per atom
# energy relative to the elements, uncorrected = 1.15 eV/f.u.
# DOS(E_F) = 1.44 states/eV/f.u.
data_Tl2NiTe
_symmetry_space_group_name_H-M 'I -4 2 d'
_symmetry_Int_Tables_number 122
_symmetry_space_group_name_Hall 'I -4 2bw'
_cell_length_a 5.7904
_cell_length_b 5.7904
_cell_length_c 15.2626
_cell_angle_alpha 90.00
_cell_angle_beta 90.00
_cell_angle_gamma 90.00
loop_
_atom_site_label
_atom_site_fract_x
_atom_site_fract_y
_atom_site_fract_z
Tl1 0.1613 0.2500 0.1250
Ni1 0.0000 0.0000 0.0000
Te1 0.0000 0.0000 0.5000

2.
# Pm3Sm4Dy4 (GGA-PBE, optimized geometry)
# E_tot = -4.55 eV/atom
# volume = 375 Å³/f.u.
# offset from the most stable computed form = 75 meV per atom
# DOS(E_F) = 15.44 states/eV/f.u.
# formation enthalpy at 0 K = 130.5 meV per atom
data_Pm3Sm4Dy4
_symmetry_space_group_name_H-M 'I m m m'
_symmetry_Int_Tables_number 71
_symmetry_space_group_name_Hall '-I 2 2'
_cell_length_a 3.6089
_cell_length_b 9.4502
_cell_length_c 22.0025
_cell_angle_alpha 90.00
_cell_angle_beta 90.00
_cell_angle_gamma 90.00
loop_
_atom_site_label
_atom_site_fract_x
_atom_site_fract_y
_atom_site_fract_z
Pm1 0.0000 0.0000 0.0000
Pm2 0.0000 0.5000 0.1088
Sm1 0.0000 0.3220 0.3546
Dy1 0.0000 0.0000 0.2586
Dy2 0.0000 0.1826 0.5000

3.
# CsScGeO4 (GGA-PBE, optimized geometry)
# E_tot = -6.84 eV/atom
# volume = 125 Å³/f.u.
# energy relative to the elements, uncorrected = -16.22 eV/f.u.
# DOS(E_F) = 0.00 states/eV/f.u.
data_CsScGeO4
_symmetry_space_group_name_H-M 'P 1 21/m 1'
_symmetry_Int_Tables_number 11
_symmetry_space_group_name_Hall '-P 2yb'
_cell_length_a 5.5046
_cell_length_b 5.7494
_cell_length_c 7.8991
_cell_angle_alpha 90.00
_cell_angle_beta 91.63
_cell_angle_gamma 90.00
loop_
_atom_site_label
_atom_site_fract_x
_atom_site_fract_y
_atom_site_fract_z
Cs1 0.2408 0.2500 0.1063
Sc1 0.1786 0.7500 0.4726
Ge1 0.3367 0.2500 0.6402
O1 0.1128 0.0212 0.6497
O2 0.3927 0.7500 0.2355
O3 0.4638 0.2500 0.4367

4.
# BaTa2MoH (GGA-PBE, optimized geometry)
# E_tot = -4.29 eV/atom
# volume = 131 Å³/f.u.
# DOS(E_F) = 4.91 states/eV/f.u.
data_BaTa2MoH
_symmetry_space_group_name_H-M 'P 4/m m m'
_symmetry_Int_Tables_number 123
_symmetry_space_group_name_Hall '-P 4 2'
_cell_length_a 5.1307
_cell_length_b 5.1307
_cell_length_c 4.9700
_cell_angle_alpha 90.00
_cell_angle_beta 90.00
_cell_angle_gamma 90.00
loop_
_atom_site_label
_atom_site_fract_x
_atom_site_fract_y
_atom_site_fract_z
Ba1 0.0000 0.0000 0.0000
Ta1 0.0000 0.5000 0.0000
Mo1 0.0000 0.0000 0.5000
H1 0.5000 0.5000 0.5000